(1)
{"formula": "CsMgCdHg2", "functional": "PBE-GGA", "state": "optimized geometry", "sg": "P4/mmm (123)", "e_above_lowest_polymorph_mev_per_atom": 0.0, "ef_ev_per_atom": -0.08, "lattice_angstrom": [[5.7154, 0.0000, 0.0000], [0.0000, 5.7154, 0.0000], [0.0000, 0.0000, 5.6731]], "species": ["Hg", "Hg", "Cd", "Mg", "Cs"], "frac_coords": [[0.0000, 0.5000, 0.0000], [0.5000, 0.0000, 0.0000], [0.0000, 0.0000, 0.5000], [0.0000, 0.0000, 0.0000], [0.5000, 0.5000, 0.5000]]}

***

(2)
{"formula": "PuPa2Bi3", "functional": "PBE-GGA", "state": "optimized geometry", "sg": "Cmmm (65)", "ef_ev_per_atom": 0.07, "lattice_angstrom": [[3.3290, 0.0000, 0.0000], [0.0000, 6.3933, 0.0000], [0.0000, -3.1967, 8.8764]], "species": ["Pu", "Pa", "Pa", "Bi", "Bi", "Bi"], "frac_coords": [[0.0000, 0.0000, 0.0000], [0.5000, 0.6586, 0.3172], [0.5000, 0.3414, 0.6828], [0.5000, 0.8378, 0.6756], [0.0000, 0.5000, 0.0000], [0.5000, 0.1622, 0.3244]]}

***

(3)
{"formula": "Sr2In5Pd3", "functional": "PBE-GGA", "state": "optimized geometry", "sg": "Cmc2_1 (36)", "e_above_lowest_polymorph_mev_per_atom": 3.2, "ef_ev_per_atom": -0.55, "lattice_angstrom": [[-3.4738, 1.7620, 2.5666], [-4.8390, -4.7848, -3.2645], [4.2517, -10.0331, 8.4032]], "species": ["Sr", "Sr", "Sr", "Sr", "In", "In", "In", "In", "In", "In", "In", "In", "In", "In", "Pd", "Pd", "Pd", "Pd", "Pd", "Pd"], "frac_coords": [[0.1757, 0.7078, 0.3514], [0.4762, 0.7800, 0.9523], [0.8243, 0.2078, 0.6486], [0.5238, 0.2800, 0.0477], [0.7099, 0.0001, 0.4199], [0.7064, 0.3985, 0.4128], [0.9472, 0.1074, 0.8945], [0.2936, 0.8985, 0.5872], [0.4005, 0.4056, 0.8010], [0.5995, 0.9056, 0.1990], [0.8733, 0.7515, 0.7466], [0.0528, 0.6074, 0.1055], [0.2901, 0.5001, 0.5801], [0.1267, 0.2515, 0.2534], [0.2290, 0.1949, 0.4579], [0.9510, 0.4911, 0.9020], [0.6101, 0.5278, 0.2202], [0.3899, 0.0278, 0.7798], [0.7710, 0.6949, 0.5421], [0.0490, 0.9911, 0.0980]]}

***

(4)
{"formula": "NaTlSb", "functional": "PBE-GGA", "state": "optimized geometry", "sg": "F-43m (216)", "e_above_lowest_polymorph_mev_per_atom": 63.0, "lattice_angstrom": [[-1.6721, 4.8756, 0.9531], [-4.9976, 1.2842, -0.9226], [-3.2525, 0.9190, 4.0066]], "species": ["Na", "Tl", "Sb"], "frac_coords": [[0.0000, 0.0000, 0.0000], [0.5000, 0.5000, 0.5000], [0.2500, 0.2500, 0.2500]]}

***

(5)
{"formula": "OsPb3Au", "functional": "PBE-GGA", "state": "optimized geometry", "sg": "Pm-3m (221)", "e_above_lowest_polymorph_mev_per_atom": 0.0, "ef_ev_per_atom": 0.50, "lattice_angstrom": [[-1.0614, -4.6660, 2.2070], [4.8488, -0.1289, 2.0595], [-1.7696, 2.4456, 4.3194]], "species": ["Os", "Pb", "Pb", "Pb", "Au"], "frac_coords": [[0.0000, 0.0000, 0.0000], [0.0000, 0.0000, 0.5000], [0.0000, 0.5000, 0.0000], [0.5000, 0.0000, 0.0000], [0.5000, 0.5000, 0.5000]]}

***

(6)
{"formula": "RbAsCl2", "functional": "PBE-GGA", "state": "optimized geometry", "sg": "I-42d (122)", "e_above_lowest_polymorph_mev_per_atom": 86.0, "lattice_angstrom": [[-0.8638, -5.6698, 1.5569], [5.6066, -1.2682, -1.5079], [4.8235, -1.7387, 7.6862]], "species": ["Cl", "Cl", "Cl", "Cl", "Rb", "Rb", "As", "As"], "frac_coords": [[0.2318, 0.6250, 0.2500], [0.3750, 0.4818, 0.7500], [0.5182, 0.1250, 0.2500], [0.8750, 0.7682, 0.7500], [0.7500, 0.2500, 0.5000], [0.0000, 0.0000, 0.0000], [0.2500, 0.7500, 0.5000], [0.5000, 0.5000, 0.0000]]}

***

(7)
{"formula": "Pr2Sm4Dy2Ho", "functional": "PBE-GGA", "state": "optimized geometry", "sg": "P-1 (2)", "ef_ev_per_atom": 0.02, "lattice_angstrom": [[5.7590, 2.4696, 0.0248], [1.7033, 9.3002, 1.5677], [-3.7902, -4.4684, 5.5640]], "species": ["Sm", "Sm", "Sm", "Sm", "Pr", "Pr", "Dy", "Dy", "Ho"], "frac_coords": [[0.7792, 0.8884, 0.2213], [0.5553, 0.7784, 0.4439], [0.2208, 0.1116, 0.7787], [0.4447, 0.2216, 0.5561], [0.3311, 0.6672, 0.6676], [0.6689, 0.3328, 0.3324], [0.8883, 0.4441, 0.1095], [0.1117, 0.5559, 0.8905], [0.0000, 0.0000, 0.0000]]}

***

(8)
{"formula": "ZrBe2Au", "functional": "PBE-GGA", "state": "optimized geometry", "sg": "Fm-3m (225)", "e_above_lowest_polymorph_mev_per_atom": 191.5, "ef_ev_per_atom": -0.16, "lattice_angstrom": [[0.0000, 3.0395, 3.0395], [3.0395, 0.0000, 3.0395], [3.0395, 3.0395, 0.0000]], "species": ["Au", "Be", "Be", "Zr"], "frac_coords": [[0.5000, 0.5000, 0.5000], [0.2500, 0.2500, 0.2500], [0.7500, 0.7500, 0.7500], [0.0000, 0.0000, 0.0000]]}

***

(9)
{"formula": "Sb4Rh", "functional": "PBE-GGA", "state": "optimized geometry", "sg": "Pm-3m (221)", "e_above_lowest_polymorph_mev_per_atom": 199.7, "lattice_angstrom": [[5.1767, 0.0000, 0.0000], [0.0000, 5.1767, 0.0000], [0.0000, 0.0000, 5.1767]], "species": ["Sb", "Sb", "Sb", "Sb", "Rh"], "frac_coords": [[0.5000, 0.5000, 0.0000], [0.5000, 0.0000, 0.5000], [0.0000, 0.5000, 0.5000], [0.0000, 0.0000, 0.0000], [0.5000, 0.5000, 0.5000]]}

***

(10)
{"formula": "HfZrAgPb", "functional": "PBE-GGA", "state": "optimized geometry", "sg": "F-43m (216)", "ef_ev_per_atom": 0.04, "lattice_angstrom": [[-4.8030, 1.0541, 0.7544], [-1.8141, 0.1601, 4.6295], [-1.3038, 4.3593, 2.0113]], "species": ["Ag", "Zr", "Hf", "Pb"], "frac_coords": [[0.7500, 0.7500, 0.7500], [0.0000, 0.0000, 0.0000], [0.5000, 0.5000, 0.5000], [0.2500, 0.2500, 0.2500]]}

***

(11)
{"formula": "CrIrOs2", "functional": "PBE-GGA", "state": "optimized geometry", "sg": "P4mm (99)", "e_above_lowest_polymorph_mev_per_atom": 435.7, "ef_ev_per_atom": 0.41, "lattice_angstrom": [[-0.1879, 0.0356, -3.1417], [-1.2218, -2.9004, 0.0402], [-5.2599, 2.2205, 0.3397]], "species": ["Os", "Os", "Cr", "Ir"], "frac_coords": [[0.5000, 0.5000, 0.2633], [0.0000, 0.0000, 0.9905], [0.0000, 0.0000, 0.5306], [0.5000, 0.5000, 0.7156]]}

***

(12)
{"formula": "CrIrPt", "functional": "PBE-GGA", "state": "optimized geometry", "sg": "F-43m (216)", "e_above_lowest_polymorph_mev_per_atom": 327.8, "ef_ev_per_atom": 0.12, "lattice_angstrom": [[-3.8805, 1.2019, 0.4194], [-3.0426, -2.5599, -0.9318], [-2.3184, -1.5820, 2.9666]], "species": ["Ir", "Cr", "Pt"], "frac_coords": [[0.0000, 0.0000, 0.0000], [0.7500, 0.7500, 0.7500], [0.5000, 0.5000, 0.5000]]}

***

(13)
{"formula": "LaPm5Pr8", "functional": "PBE-GGA", "state": "optimized geometry", "sg": "I-4 (82)", "ef_ev_per_atom": 0.21, "lattice_angstrom": [[8.3380, 0.0000, -2.5519], [-4.3093, 6.9257, -3.0817], [0.2806, 0.0000, 8.7153]], "species": ["Pr", "Pr", "Pr", "Pr", "Pr", "Pr", "Pr", "Pr", "Pm", "Pm", "Pm", "Pm", "Pm", "La"], "frac_coords": [[0.1742, 0.7370, 0.0707], [0.5628, 0.8965, 0.8258], [0.0715, 0.7496, 0.4675], [0.7178, 0.2504, 0.3218], [0.3337, 0.2630, 0.4372], [0.9293, 0.1035, 0.6664], [0.6782, 0.3960, 0.9285], [0.5325, 0.6040, 0.2822], [0.0364, 0.3155, 0.1356], [0.8201, 0.6845, 0.7208], [0.8644, 0.9007, 0.1799], [0.5000, 0.0000, 0.5000], [0.2792, 0.0993, 0.9636], [0.2500, 0.5000, 0.7500]]}

***

(14)
{"formula": "LaNdS3", "functional": "PBE-GGA", "state": "optimized geometry", "sg": "Pnma (62)", "e_above_lowest_polymorph_mev_per_atom": 0.0, "lattice_angstrom": [[-0.6066, -0.3927, 4.0601], [-0.6542, -7.4906, -0.8223], [15.5200, -1.5930, 2.1646]], "species": ["S", "S", "S", "S", "S", "S", "S", "S", "S", "S", "S", "S", "Nd", "Nd", "Nd", "Nd", "La", "La", "La", "La"], "frac_coords": [[0.7500, 0.8522, 0.2186], [0.2500, 0.6478, 0.7186], [0.7500, 0.6263, 0.4344], [0.7500, 0.9887, 0.6074], [0.7500, 0.3522, 0.2814], [0.2500, 0.1478, 0.7814], [0.2500, 0.8737, 0.9344], [0.2500, 0.5113, 0.1074], [0.2500, 0.0113, 0.3926], [0.2500, 0.3737, 0.5656], [0.7500, 0.4887, 0.8926], [0.7500, 0.1263, 0.0656], [0.2500, 0.2657, 0.9559], [0.7500, 0.2343, 0.4559], [0.7500, 0.7343, 0.0441], [0.2500, 0.7657, 0.5441], [0.7500, 0.3558, 0.7034], [0.2500, 0.6442, 0.2966], [0.2500, 0.1442, 0.2034], [0.7500, 0.8558, 0.7966]]}

***

(15)
{"formula": "Cd5Ag3", "functional": "PBE-GGA", "state": "optimized geometry", "sg": "Fmmm (69)", "e_above_lowest_polymorph_mev_per_atom": 0.0, "ef_ev_per_atom": -0.03, "lattice_angstrom": [[-2.6115, 0.0833, 4.5608], [1.0801, -4.9994, -1.2112], [6.0444, 2.8680, 1.3403]], "species": ["Cd", "Cd", "Cd", "Cd", "Cd", "Ag", "Ag", "Ag"], "frac_coords": [[0.6265, 0.1265, 0.2531], [0.1265, 0.6265, 0.2531], [0.8735, 0.3735, 0.7469], [0.3735, 0.8735, 0.7469], [0.0000, 0.0000, 0.0000], [0.5000, 0.5000, 0.0000], [0.2513, 0.2513, 0.5026], [0.7487, 0.7487, 0.4974]]}

***

(16)
{"formula": "Nb3Tc5H12", "functional": "PBE-GGA", "state": "optimized geometry", "sg": "Ia-3d (230)", "lattice_angstrom": [[9.4742, 0.0000, 0.0000], [-3.1581, 8.9324, 0.0000], [-3.1581, -4.4662, 7.7357]], "species": ["H", "H", "H", "H", "H", "H", "H", "H", "H", "H", "H", "H", "H", "H", "H", "H", "H", "H", "H", "H", "H", "H", "H", "H", "H", "H", "H", "H", "H", "H", "H", "H", "H", "H", "H", "H", "H", "H", "H", "H", "H", "H", "H", "H", "H", "H", "H", "H", "Tc", "Tc", "Tc", "Tc", "Tc", "Tc", "Tc", "Tc", "Tc", "Tc", "Tc", "Tc", "Tc", "Tc", "Tc", "Tc", "Tc", "Tc", "Tc", "Tc", "Nb", "Nb", "Nb", "Nb", "Nb", "Nb", "Nb", "Nb", "Nb", "Nb", "Nb", "Nb"], "frac_coords": [[0.4200, 0.0523, 0.3332], [0.3332, 0.7810, 0.4132], [0.3677, 0.4200, 0.0868], [0.2190, 0.5523, 0.6323], [0.9132, 0.8332, 0.7810], [0.6668, 0.2190, 0.5868], [0.7810, 0.3332, 0.9132], [0.9477, 0.3677, 0.2810], [0.1323, 0.7190, 0.5523], [0.8677, 0.5868, 0.9200], [0.0868, 0.1668, 0.2190], [0.0868, 0.9200, 0.3677], [0.6323, 0.0523, 0.2190], [0.0800, 0.1668, 0.4477], [0.6668, 0.4477, 0.5800], [0.5523, 0.3332, 0.9200], [0.5800, 0.6323, 0.4132], [0.2810, 0.4132, 0.8332], [0.8677, 0.2810, 0.4477], [0.0800, 0.9132, 0.1323], [0.4200, 0.3677, 0.5868], [0.9477, 0.5800, 0.1668], [0.7810, 0.4477, 0.3677], [0.7190, 0.5868, 0.1668], [0.2190, 0.6668, 0.0868], [0.9200, 0.8332, 0.5523], [0.0523, 0.6323, 0.7190], [0.4477, 0.7810, 0.8677], [0.8332, 0.9132, 0.2810], [0.7190, 0.1323, 0.0523], [0.5800, 0.9477, 0.6668], [0.3332, 0.5523, 0.4200], [0.8332, 0.9200, 0.0523], [0.2810, 0.8677, 0.9477], [0.1323, 0.4132, 0.0800], [0.6323, 0.5800, 0.9132], [0.0523, 0.4200, 0.8332], [0.9200, 0.0868, 0.8677], [0.5523, 0.2190, 0.1323], [0.4132, 0.2810, 0.3332], [0.9132, 0.0800, 0.6323], [0.4132, 0.1323, 0.5800], [0.5868, 0.7190, 0.6668], [0.5868, 0.8677, 0.4200], [0.4477, 0.6668, 0.0800], [0.1668, 0.0868, 0.7190], [0.3677, 0.9477, 0.7810], [0.1668, 0.0800, 0.9477], [0.3750, 0.2500, 0.1250], [0.5000, 0.5000, 0.5000], [0.0000, 0.0000, 0.0000], [0.1250, 0.3750, 0.2500], [0.6250, 0.7500, 0.8750], [0.5000, 0.0000, 0.5000], [0.6250, 0.8750, 0.2500], [0.0000, 0.5000, 0.5000], [0.7500, 0.6250, 0.3750], [0.0000, 0.0000, 0.5000], [0.7500, 0.1250, 0.8750], [0.5000, 0.5000, 0.0000], [0.5000, 0.0000, 0.0000], [0.2500, 0.8750, 0.1250], [0.1250, 0.7500, 0.3750], [0.0000, 0.5000, 0.0000], [0.8750, 0.2500, 0.6250], [0.8750, 0.6250, 0.7500], [0.2500, 0.3750, 0.6250], [0.3750, 0.1250, 0.7500], [0.6250, 0.3750, 0.7500], [0.3750, 0.6250, 0.2500], [0.3750, 0.7500, 0.6250], [0.1250, 0.8750, 0.7500], [0.7500, 0.3750, 0.1250], [0.2500, 0.6250, 0.8750], [0.2500, 0.1250, 0.3750], [0.1250, 0.2500, 0.8750], [0.8750, 0.1250, 0.2500], [0.7500, 0.8750, 0.6250], [0.6250, 0.2500, 0.3750], [0.8750, 0.7500, 0.1250]]}

***

(17)
{"formula": "ErSe6Br12", "functional": "PBE-GGA", "state": "optimized geometry", "sg": "R-3 (148)", "lattice_angstrom": [[6.1099, -10.2976, -7.1929], [11.8498, -4.8845, -5.5529], [9.5708, -10.1737, 0.0834]], "species": ["Se", "Se", "Se", "Se", "Se", "Se", "Br", "Br", "Br", "Br", "Br", "Br", "Br", "Br", "Br", "Br", "Br", "Br", "Er"], "frac_coords": [[0.5407, 0.8835, 0.8199], [0.8199, 0.5407, 0.8835], [0.8835, 0.8199, 0.5407], [0.1801, 0.4593, 0.1165], [0.1165, 0.1801, 0.4593], [0.4593, 0.1165, 0.1801], [0.7199, 0.2738, 0.8857], [0.8664, 0.2158, 0.5223], [0.8857, 0.7199, 0.2738], [0.1336, 0.7842, 0.4777], [0.4777, 0.1336, 0.7842], [0.2801, 0.7262, 0.1143], [0.2738, 0.8857, 0.7199], [0.7842, 0.4777, 0.1336], [0.2158, 0.5223, 0.8664], [0.5223, 0.8664, 0.2158], [0.1143, 0.2801, 0.7262], [0.7262, 0.1143, 0.2801], [0.0000, 0.0000, 0.0000]]}

***

(18)
{"formula": "CaNbOs2", "functional": "PBE-GGA", "state": "optimized geometry", "sg": "Fm-3m (225)", "e_above_lowest_polymorph_mev_per_atom": 0.0, "ef_ev_per_atom": 0.26, "lattice_angstrom": [[0.0000, 3.2547, 3.2547], [3.2547, 0.0000, 3.2547], [3.2547, 3.2547, 0.0000]], "species": ["Ca", "Os", "Os", "Nb"], "frac_coords": [[0.0000, 0.0000, 0.0000], [0.7500, 0.7500, 0.7500], [0.2500, 0.2500, 0.2500], [0.5000, 0.5000, 0.5000]]}

***

(19)
{"formula": "Co2NiRh4", "functional": "PBE-GGA", "state": "optimized geometry", "sg": "I-42d (122)", "ef_ev_per_atom": 0.34, "lattice_angstrom": [[5.9257, -0.0006, -2.1242], [-2.9626, 5.1546, -2.0889], [-0.0019, -0.0006, 6.3010]], "species": ["Rh", "Rh", "Rh", "Rh", "Rh", "Rh", "Rh", "Rh", "Ni", "Ni", "Co", "Co", "Co", "Co"], "frac_coords": [[0.4631, 0.0858, 0.2148], [0.6208, 0.7478, 0.0349], [0.2868, 0.2518, 0.8727], [0.1293, 0.9142, 0.3774], [0.1273, 0.4142, 0.3790], [0.9651, 0.5858, 0.7132], [0.6230, 0.7522, 0.5371], [0.7849, 0.2482, 0.8709], [0.7500, 0.5001, 0.2502], [0.9999, 0.0000, 0.0002], [0.3750, 0.8761, 0.7511], [0.8749, 0.1239, 0.4987], [0.5010, 0.3761, 0.6248], [0.2489, 0.6239, 0.1251]]}

***

(20)
{"formula": "SmMgAlZn2", "functional": "PBE-GGA", "state": "optimized geometry", "sg": "I-4m2 (119)", "ef_ev_per_atom": -0.32, "lattice_angstrom": [[-4.1700, -0.8896, 0.2867], [0.5393, -3.3605, -2.5845], [2.8125, -1.1214, 5.5782]], "species": ["Zn", "Zn", "Sm", "Al", "Mg"], "frac_coords": [[0.3911, 0.3911, 0.7823], [0.6089, 0.6089, 0.2177], [0.0000, 0.0000, 0.0000], [0.7500, 0.2500, 0.5000], [0.2500, 0.7500, 0.5000]]}

***

Values of VASP energy, in order: -0.0322, -0.2730, -0.1402, -0.1011, -0.1701, -0.1088, -0.1718, -0.1831, -0.1646, -0.2287, -0.3610, -0.2960, -0.1679, -0.2409, -0.0614, -0.2229, -0.1014, -0.3078, -0.2469, -0.1043, all in Ha/atom.
Values of calculated volume, in order: 185.3, 188.9, 477.5, 101.8, 146.3, 290.6, 301.0, 56.2, 138.7, 87.1, 56.7, 48.2, 508.2, 491.3, 159.6, 654.6, 740.7, 69.0, 192.4, 101.9, all in Å³/cell.